Record 1
Density functional theory data (PBE-GGA) for crystalline SmBeNO at its relaxed geometry.

Calculated values
**Magnetic moment**: 0.000 μB per formula unit
**E_tot**: -119.53 eV for the cell shown

Unit cell a=5.1574 b=6.9532 c=4.9013 alpha=90.00 beta=90.00 gamma=90.00
Space group Pca2_1 (No. 29)
Asymmetric unit:
Sm 0.0177 0.1781 0.0000 [4 per cell]
Be 0.0752 0.5929 0.0051 [4 per cell]
N 0.0210 0.8390 0.0029 [4 per cell]
O 0.1478 0.5215 0.6805 [4 per cell]

***

Record 2
Density functional theory data (PBE-GGA) for crystalline NdS2 at its relaxed geometry.

Calculated values
**Magnetic moment**: 0.013 μB per formula unit
**E_tot**: -68.92 eV for the cell shown

Unit cell a=6.7316 b=6.7316 c=6.7316 alpha=90.00 beta=90.00 gamma=90.00
Space group Fm-3m (No. 225)
Asymmetric unit:
Nd 0.0000 0.0000 0.0000 [4 per cell]
S 0.2500 0.2500 0.2500 [8 per cell]

***

Record 3
Density functional theory data (PBE-GGA) for crystalline LiTm2As2 at its relaxed geometry.

Calculated values
**Magnetic moment**: 0.006 μB per formula unit
**E_tot**: -48.09 eV for the cell shown

Unit cell a=4.2453 b=4.2453 c=12.9762 alpha=90.00 beta=90.00 gamma=120.00
Space group P6_3/mmc (No. 194)
Asymmetric unit:
Li 0.0000 0.0000 0.2500 [2 per cell]
Tm 0.0000 0.0000 0.0000 [2 per cell]
Tm 0.3333 0.6667 0.2500 [2 per cell]
As 0.3333 0.6667 0.6230 [4 per cell]

***

Record 4
Density functional theory data (PBE-GGA) for crystalline FeSn2 at its relaxed geometry.

Calculated values
**Magnetic moment**: 3.175 μB per formula unit
**E_tot**: -107.01 eV for the cell shown

Unit cell a=8.4723 b=8.4723 c=8.4723 alpha=90.00 beta=90.00 gamma=90.00
Space group Fd-3m (No. 227, origin choice 2)
Asymmetric unit:
Fe 0.1250 0.1250 0.1250 [8 per cell]
Sn 0.0000 0.0000 0.5000 [16 per cell]

***

Record 5
Density functional theory data (PBE-GGA) for crystalline Tb4Mg3Co2 at its relaxed geometry.

Calculated values
**Magnetic moment**: 0.147 μB per formula unit
**E_tot**: -38.79 eV for the cell shown

Unit cell a=7.4761 b=3.7240 c=8.1677 alpha=90.00 beta=109.50 gamma=90.00
Space group P2/m (No. 10)
Asymmetric unit:
Tb 0.0971 0.0000 0.2272 [2 per cell]
Tb 0.3977 0.0000 0.6789 [2 per cell]
Mg 0.0000 0.5000 0.5000 [1 per cell]
Mg 0.2919 0.5000 0.0020 [2 per cell]
Co 0.3507 0.5000 0.3930 [2 per cell]

***

Record 6
Density functional theory data (PBE-GGA) for crystalline La2NiHg4Pd at its relaxed geometry.

Calculated values
**Formation energy**: -496 meV/atom
**Magnetic moment**: 0.001 μB per formula unit
**E_tot**: -51.49 eV for the cell shown

Unit cell a=8.4137 b=4.2886 c=10.1296 alpha=90.00 beta=90.00 gamma=90.00
Space group Amm2 (No. 38)
Asymmetric unit:
La 0.0000 0.0000 0.0000 [2 per cell]
La 0.5000 0.0000 0.1276 [2 per cell]
Ni 0.0000 0.0000 0.2834 [2 per cell]
Hg 0.1934 0.0000 0.7081 [4 per cell]
Hg 0.2928 0.0000 0.4186 [4 per cell]
Pd 0.5000 0.0000 0.8416 [2 per cell]

***

Record 7
Density functional theory data (PBE-GGA) for crystalline LiSc2Pt at its relaxed geometry.

Calculated values
**Magnetic moment**: 0.011 μB per formula unit
**E_tot**: -90.44 eV for the cell shown

Unit cell a=6.5035 b=6.5035 c=6.5035 alpha=90.00 beta=90.00 gamma=90.00
Space group F-43m (No. 216)
Asymmetric unit:
Li 0.0000 0.0000 0.0000 [4 per cell]
Sc 0.0000 0.0000 0.5000 [4 per cell]
Sc 0.2500 0.2500 0.7500 [4 per cell]
Pt 0.2500 0.2500 0.2500 [4 per cell]

***

Record 8
Density functional theory data (PBE-GGA) for crystalline Hf2SnB2 at its relaxed geometry.

Calculated values
**Magnetic moment**: 0.007 μB per formula unit
**E_tot**: -80.42 eV for the cell shown

Unit cell a=3.1107 b=14.8165 c=3.3311 alpha=90.00 beta=90.00 gamma=90.00
Space group Cmmm (No. 65)
Asymmetric unit:
Hf 0.0000 0.1551 0.0000 [4 per cell]
Sn 0.0000 0.5000 0.5000 [2 per cell]
B 0.0000 0.2738 0.5000 [4 per cell]